No. 1
BeCu2Rh (PBE, optimized geometry); energy of formation from the pure elements = 37 meV/atom; raw total energy = -4.78 eV/atom; space group = R-3m (166); total magnetization = 0.2 μB per cell
1.0
-3.549 6.562 3.429
-5.289 6.087 1.546
-5.446 4.815 3.817
Cu Be Rh
2 1 1
Direct
0.491 0.491 0.491
0.009 0.009 0.009
0.750 0.750 0.750
0.250 0.250 0.250

=====

No. 2
BeCu2Rh (PBE, optimized geometry); energy of formation from the pure elements = -110 meV/atom; raw total energy = -4.93 eV/atom; space group = Cm (8); total magnetization = 0.0 μB per cell
1.0
-1.337 0.248 -4.260
1.475 -0.063 -4.221
-0.401 -3.839 -1.717
Cu Be Rh
2 1 1
Direct
0.257 0.257 0.222
0.020 0.020 0.017
0.745 0.745 0.707
0.478 0.478 0.554